1.
Below is an optimized crystal structure of ErZnIn6, with properties calculated at the PBE-GGA level.

Cell and atoms, written as POSCAR:
```
ErZnIn6
1.0
6.771 0.000 0.000
0.000 6.771 0.000
0.000 0.000 4.289
Er Zn In
1 1 6
Direct
0.000 0.000 0.000 Er
0.500 0.500 0.000 Zn
0.000 0.500 0.000 In
0.264 0.264 0.500 In
0.264 0.736 0.500 In
0.500 0.000 0.000 In
0.736 0.264 0.500 In
0.736 0.736 0.500 In
```

ΔE_f (eV per atom): -0.11
Raw total energy (eV/f.u.): -23.1

***

2.
Below is an optimized crystal structure of TcNi2P, with properties calculated at the PBE-GGA level.

Cell and atoms, written as POSCAR:
```
TcNi2P
1.0
0.000 2.867 2.867
2.867 0.000 2.867
2.867 2.867 0.000
Tc Ni P
1 2 1
Direct
0.000 0.000 0.000 Tc
0.500 0.500 0.500 Ni
0.750 0.750 0.750 Ni
0.250 0.250 0.250 P
```

ΔE_f (eV per atom): -0.16
Raw total energy (eV/f.u.): -28.0

***

3.
Below is an optimized crystal structure of Ba2Bi4Rh3, with properties calculated at the PBE-GGA level.

Cell and atoms, written as POSCAR:
```
Ba2Bi4Rh3
1.0
0.000 5.533 7.191
3.150 0.000 7.191
3.150 5.533 0.000
Ba Bi Rh
2 4 3
Direct
0.127 0.127 0.873 Ba
0.873 0.873 0.127 Ba
0.193 0.520 0.480 Bi
0.480 0.807 0.193 Bi
0.520 0.193 0.807 Bi
0.807 0.480 0.520 Bi
0.000 0.000 0.500 Rh
0.500 0.500 0.000 Rh
0.500 0.500 0.500 Rh
```

ΔE_f (eV per atom): -0.44
Raw total energy (eV/f.u.): -45.4

***

4.
Below is an optimized crystal structure of CsSrHfHg2, with properties calculated at the PBE-GGA level.

Cell and atoms, written as POSCAR:
```
CsSrHfHg2
1.0
5.829 0.000 0.000
0.000 5.829 0.000
0.000 0.000 6.212
Cs Sr Hf Hg
1 1 1 2
Direct
0.000 0.000 0.000 Cs
0.000 0.000 0.500 Sr
0.500 0.500 0.000 Hf
0.000 0.500 0.500 Hg
0.500 0.000 0.500 Hg
```

ΔE_f (eV per atom): 1.23
Raw total energy (eV/f.u.): -6.9